No. 1
4
Lattice="0.000 4.143 4.143 4.143 0.000 4.143 4.143 4.143 0.000" Properties=species:S:1:pos:R:3 comment="AcPrHoTm PBE relaxed" polymorph_energy_ev_per_atom=0.042 delta_e_f_mev_per_atom=101.6 sg="F-43m, No. 216" energy_ev_per_atom=-4.38 pbc="T T T"
Ac 0.000 0.000 0.000
Pr 4.143 4.143 4.143
Ho 6.214 6.214 6.214
Tm 2.071 2.071 2.071

No. 2
8
Lattice="5.785 -2.601 0.000 5.785 2.601 0.000 -4.702 0.000 9.299" Properties=species:S:1:pos:R:3 comment="AcPr4HoTm2 PBE relaxed" delta_e_f_mev_per_atom=36.2 sg="C2/m, No. 12" energy_ev_per_atom=-4.56 pbc="T T T"
Ac 0.000 0.000 0.000
Pr -1.230 0.000 8.083
Pr 1.131 0.000 3.519
Pr 5.738 0.000 5.780
Pr 8.099 0.000 1.216
Ho -2.351 0.000 4.650
Tm 4.569 0.000 2.393
Tm 2.300 0.000 6.907

No. 3
16
Lattice="-3.455 5.988 6.726 3.455 -5.988 6.726 3.455 5.988 -6.726" Properties=species:S:1:pos:R:3 comment="AcPr2Ho4Tm PBE relaxed" delta_e_f_mev_per_atom=424.1 sg="Imma, No. 74" energy_ev_per_atom=-4.13 pbc="T T T"
Ac 0.000 0.000 0.000
Ac 0.000 5.988 0.000
Pr 3.455 0.000 0.000
Pr -1.728 2.994 3.363
Pr 0.000 0.000 6.726
Pr 1.728 2.994 3.363
Ho 3.455 -0.096 3.253
Ho 1.809 2.994 -0.107
Ho 5.101 2.994 -0.107
Ho 3.455 5.892 -3.253
Ho 0.000 0.096 9.979
Ho -1.646 2.994 6.832
Ho 1.646 2.994 6.832
Ho 0.000 6.084 3.473
Tm 1.728 2.994 -3.363
Tm 1.728 -2.994 3.363

No. 4
8
Lattice="5.992 0.000 0.000 0.000 5.992 0.000 0.000 0.000 7.851" Properties=species:S:1:pos:R:3 comment="AcPr4Ho2Tm PBE relaxed" delta_e_f_mev_per_atom=113.1 sg="P4/mmm, No. 123" energy_ev_per_atom=-4.49 pbc="T T T"
Ac 0.000 0.000 0.000
Pr 0.000 2.996 2.129
Pr 0.000 2.996 5.723
Pr 2.996 0.000 2.129
Pr 2.996 0.000 5.723
Ho 0.000 0.000 3.926
Ho 2.996 2.996 0.000
Tm 2.996 2.996 3.926

No. 5
10
Lattice="6.457 0.000 0.000 0.000 5.917 0.000 -3.187 0.000 9.349" Properties=species:S:1:pos:R:3 comment="AcPr2HoTm PBE relaxed" delta_e_f_mev_per_atom=46.5 sg="P2_1/m, No. 11" energy_ev_per_atom=-4.50 pbc="T T T"
Ac 0.553 1.479 0.979
Ac 2.717 4.438 8.370
Pr -0.510 4.438 6.550
Pr 0.579 1.479 4.698
Pr 2.691 4.438 4.651
Pr 3.780 1.479 2.799
Ho 2.741 4.438 0.972
Ho 0.529 1.479 8.377
Tm -0.562 4.438 2.864
Tm 3.832 1.479 6.486

No. 6
10
Lattice="3.227 -8.845 0.000 3.227 8.845 0.000 0.000 0.000 6.469" Properties=species:S:1:pos:R:3 comment="AcPrHo2Tm PBE relaxed" delta_e_f_mev_per_atom=391.3 sg="Cmcm, No. 63" energy_ev_per_atom=-4.11 pbc="T T T"
Ac 3.227 6.041 4.851
Ac 3.227 -6.041 1.617
Pr 3.227 2.711 4.851
Pr 3.227 -2.711 1.617
Ho 1.619 0.000 0.000
Ho 1.619 0.000 3.234
Ho 4.835 0.000 0.000
Ho 4.835 0.000 3.234
Tm 3.227 4.522 1.617
Tm 3.227 -4.522 4.851

No. 7
4
Lattice="3.705 0.000 0.000 0.000 3.705 0.000 0.000 0.000 10.303" Properties=species:S:1:pos:R:3 comment="AcPrHoTm PBE relaxed" polymorph_energy_ev_per_atom=0.000 delta_e_f_mev_per_atom=59.6 sg="P4mm, No. 99" energy_ev_per_atom=-4.42 pbc="T T T"
Ac 0.000 0.000 0.000
Pr 1.853 1.853 7.520
Ho 1.853 1.853 2.692
Tm 0.000 0.000 5.024

No. 8
18
Lattice="2.786 -12.270 0.000 2.786 12.270 0.000 0.000 0.000 9.558" Properties=species:S:1:pos:R:3 comment="AcPr5HoTm2 PBE relaxed" delta_e_f_mev_per_atom=145.6 sg="Cmc2_1, No. 36" energy_ev_per_atom=-4.47 pbc="T T T"
Ac 2.786 9.754 4.779
Ac 2.786 -9.754 0.000
Pr 2.786 11.662 7.946
Pr 2.786 9.631 1.030
Pr 2.786 7.633 7.617
Pr 2.786 6.360 4.128
Pr 2.786 0.252 5.899
Pr 2.786 -0.252 1.120
Pr 2.786 -6.360 8.907
Pr 2.786 -7.633 2.838
Pr 2.786 -9.631 5.810
Pr 2.786 -11.662 3.167
Ho 2.786 5.767 1.023
Ho 2.786 -5.767 5.802
Tm 2.786 4.308 7.142
Tm 2.786 2.753 3.473
Tm 2.786 -2.753 8.252
Tm 2.786 -4.308 2.363

No. 9
20
Lattice="4.741 -7.772 0.000 4.741 7.772 0.000 -0.984 0.000 9.718" Properties=species:S:1:pos:R:3 comment="AcPr6Ho2Tm PBE relaxed" delta_e_f_mev_per_atom=118.4 sg="C2/c, No. 15" energy_ev_per_atom=-4.52 pbc="T T T"
Ac 4.003 7.340 7.288
Ac 4.495 -7.340 2.429
Pr 1.969 4.285 6.670
Pr 4.123 4.937 0.520
Pr 4.867 4.937 4.339
Pr 2.933 1.714 8.584
Pr 6.037 4.285 7.907
Pr 5.073 1.714 5.993
Pr 3.425 -1.714 3.725
Pr 2.461 -4.285 1.811
Pr 5.565 -1.714 1.134
Pr 3.631 -4.937 5.379
Pr 4.375 -4.937 9.198
Pr 6.529 -4.285 3.048
Ho 1.929 0.830 5.327
Ho 2.421 -0.830 0.468
Ho 6.077 0.830 9.250
Ho 6.569 -0.830 4.391
Tm 4.495 1.335 2.429
Tm 4.003 -1.335 7.288

No. 10
10
Lattice="3.224 -8.827 0.000 3.224 8.827 0.000 0.000 0.000 6.453" Properties=species:S:1:pos:R:3 comment="AcPrHoTm2 PBE relaxed" delta_e_f_mev_per_atom=385.8 sg="Cmcm, No. 63" energy_ev_per_atom=-4.10 pbc="T T T"
Ac 3.224 6.032 4.840
Ac 3.224 -6.032 1.613
Pr 3.224 2.689 4.840
Pr 3.224 -2.689 1.613
Ho 3.224 4.469 1.613
Ho 3.224 -4.469 4.840
Tm 1.620 0.000 0.000
Tm 1.620 0.000 3.227
Tm 4.828 0.000 0.000
Tm 4.828 0.000 3.227

No. 11
7
Lattice="5.771 -2.571 0.000 5.771 2.571 0.000 -1.206 0.000 8.032" Properties=species:S:1:pos:R:3 comment="AcPr2Ho2Tm2 PBE relaxed" delta_e_f_mev_per_atom=47.2 sg="C2/m, No. 12" energy_ev_per_atom=-4.49 pbc="T T T"
Ac 0.000 0.000 0.000
Pr 2.266 0.000 6.799
Pr 8.069 0.000 1.233
Ho 4.555 0.000 2.379
Ho 5.780 0.000 5.653
Tm 1.113 0.000 3.481
Tm 9.223 0.000 4.551

No. 12
18
Lattice="-4.401 4.401 7.768 4.401 -4.401 7.768 4.401 4.401 -7.768" Properties=species:S:1:pos:R:3 comment="AcPr2HoTm5 PBE relaxed" delta_e_f_mev_per_atom=262.5 sg="I4/mcm, No. 140" energy_ev_per_atom=-4.25 pbc="T T T"
Ac 0.000 0.000 3.884
Ac 0.000 0.000 11.653
Pr 5.432 1.031 0.000
Pr 1.031 3.370 0.000
Pr 3.370 1.031 7.768
Pr -1.031 3.370 7.768
Ho 4.401 0.000 3.884
Ho 0.000 4.401 3.884
Tm 0.000 0.000 0.000
Tm 2.569 1.832 -2.089
Tm 2.569 -1.832 5.680
Tm 2.569 1.832 2.089
Tm 2.569 -1.832 9.857
Tm 0.000 0.000 7.768
Tm 1.832 6.232 -2.089
Tm 1.832 2.569 5.680
Tm 1.832 6.232 2.089
Tm 1.832 2.569 9.857

No. 13
18
Lattice="2.820 -11.365 0.000 2.820 11.365 0.000 0.000 0.000 10.494" Properties=species:S:1:pos:R:3 comment="Ac2Pr5HoTm PBE relaxed" delta_e_f_mev_per_atom=110.0 sg="Cmcm, No. 63" energy_ev_per_atom=-4.46 pbc="T T T"
Ac 2.820 8.725 5.362
Ac 2.820 8.725 10.379
Ac 2.820 -8.725 0.115
Ac 2.820 -8.725 5.132
Pr 2.820 11.291 2.624
Pr 2.820 5.041 5.890
Pr 2.820 5.041 9.851
Pr 2.820 2.796 2.624
Pr 2.820 0.000 0.000
Pr 2.820 0.000 5.247
Pr 2.820 -2.796 7.871
Pr 2.820 -5.041 0.643
Pr 2.820 -5.041 4.604
Pr 2.820 -11.291 7.871
Ho 2.820 2.338 7.871
Ho 2.820 -2.338 2.624
Tm 2.820 6.433 2.624
Tm 2.820 -6.433 7.871

No. 14
7
Lattice="5.805 -2.589 0.000 5.805 2.589 0.000 -1.223 0.000 8.090" Properties=species:S:1:pos:R:3 comment="AcPr2Y2Ho2 PBE relaxed" delta_e_f_mev_per_atom=39.7 sg="C2/m, No. 12" energy_ev_per_atom=-5.07 pbc="T T T"
Ac 0.000 0.000 0.000
Pr 2.263 0.000 6.878
Pr 8.124 0.000 1.212
Y 1.119 0.000 3.500
Y 9.269 0.000 4.590
Ho 4.590 0.000 2.381
Ho 5.797 0.000 5.710

No. 15
18
Lattice="2.830 -11.403 0.000 2.830 11.403 0.000 0.000 0.000 10.514" Properties=species:S:1:pos:R:3 comment="Ac2Pr5YHo PBE relaxed" delta_e_f_mev_per_atom=109.6 sg="Cmcm, No. 63" energy_ev_per_atom=-4.69 pbc="T T T"
Ac 2.830 8.754 5.381
Ac 2.830 8.754 10.390
Ac 2.830 -8.754 0.124
Ac 2.830 -8.754 5.133
Pr 2.830 11.339 2.629
Pr 2.830 5.058 5.892
Pr 2.830 5.058 9.879
Pr 2.830 2.781 2.629
Pr 2.830 0.000 0.000
Pr 2.830 0.000 5.257
Pr 2.830 -2.781 7.886
Pr 2.830 -5.058 0.635
Pr 2.830 -5.058 4.622
Pr 2.830 -11.339 7.886
Y 2.830 2.347 7.886
Y 2.830 -2.347 2.629
Ho 2.830 6.439 2.629
Ho 2.830 -6.439 7.886

No. 16
20
Lattice="7.520 0.000 0.000 0.000 9.628 0.000 -7.517 0.000 9.622" Properties=species:S:1:pos:R:3 comment="AcPr2Y6Ho PBE relaxed" delta_e_f_mev_per_atom=98.2 sg="P2_1/c, No. 14" energy_ev_per_atom=-5.60 pbc="T T T"
Ac 0.000 0.000 0.000
Ac -3.759 4.814 4.811
Pr -1.887 1.677 3.146
Pr -5.645 3.137 7.958
Pr 5.648 6.491 1.665
Pr 1.889 7.951 6.476
Y -3.765 1.134 6.060
Y -0.006 3.680 1.249
Y -3.751 6.060 8.488
Y 0.007 8.381 3.677
Y 1.882 6.478 1.675
Y -1.876 7.964 6.486
Y 1.879 1.664 3.136
Y -1.880 3.150 7.947
Y -0.005 1.246 5.946
Y 3.754 3.568 1.135
Y 0.009 5.948 8.373
Y 3.767 8.494 3.562
Ho 3.760 0.000 0.000
Ho 0.001 4.814 4.811

No. 17
18
Lattice="2.910 -10.105 0.000 2.910 10.105 0.000 0.000 0.000 10.936" Properties=species:S:1:pos:R:3 comment="Ac2PrY5Ho PBE relaxed" delta_e_f_mev_per_atom=155.0 sg="Cmc2_1, No. 36" energy_ev_per_atom=-5.39 pbc="T T T"
Ac 2.910 7.815 5.468
Ac 2.910 7.781 0.953
Ac 2.910 -7.781 6.421
Ac 2.910 -7.815 0.000
Pr 2.910 1.702 2.518
Pr 2.910 -1.702 7.986
Y 2.910 9.724 8.669
Y 2.910 4.391 0.908
Y 2.910 4.101 5.201
Y 2.910 2.305 8.627
Y 2.910 0.373 5.541
Y 2.910 -0.373 0.073
Y 2.910 -2.305 3.159
Y 2.910 -4.101 10.669
Y 2.910 -4.391 6.375
Y 2.910 -9.724 3.202
Ho 2.910 5.994 8.549
Ho 2.910 -5.994 3.081

No. 18
20
Lattice="4.816 -7.727 0.000 4.816 7.727 0.000 -0.893 0.000 9.725" Properties=species:S:1:pos:R:3 comment="AcPr6Y2Ho PBE relaxed" delta_e_f_mev_per_atom=117.9 sg="C2/c, No. 15" energy_ev_per_atom=-4.91 pbc="T T T"
Ac 4.146 7.189 7.294
Ac 4.592 -7.189 2.431
Pr 2.039 4.241 6.643
Pr 4.159 4.969 0.551
Pr 5.026 4.969 4.312
Pr 3.128 1.761 8.594
Pr 6.253 4.241 7.945
Pr 5.164 1.761 5.994
Pr 3.575 -1.761 3.731
Pr 2.486 -4.241 1.780
Pr 5.610 -1.761 1.132
Pr 3.713 -4.969 5.414
Pr 4.579 -4.969 9.174
Pr 6.699 -4.241 3.082
Y 1.995 0.767 5.360
Y 2.442 -0.767 0.498
Y 6.297 0.767 9.228
Y 6.743 -0.767 4.365
Ho 4.592 1.353 2.431
Ho 4.146 -1.353 7.294

No. 19
20
Lattice="4.723 -7.795 0.000 4.723 7.795 0.000 -1.092 0.000 9.805" Properties=species:S:1:pos:R:3 comment="AcPr6YHo2 PBE relaxed" delta_e_f_mev_per_atom=114.0 sg="C2/c, No. 15" energy_ev_per_atom=-4.73 pbc="T T T"
Ac 3.904 7.361 7.354
Ac 4.450 -7.361 2.451
Pr 1.917 4.257 6.698
Pr 4.074 4.949 0.522
Pr 4.825 4.949 4.380
Pr 2.822 1.697 8.640
Pr 5.890 4.257 8.009
Pr 4.985 1.697 6.067
Pr 3.368 -1.697 3.737
Pr 2.464 -4.257 1.796
Pr 5.531 -1.697 1.165
Pr 3.528 -4.949 5.425
Pr 4.279 -4.949 9.282
Pr 6.436 -4.257 3.107
Y 4.450 1.376 2.451
Y 3.904 -1.376 7.354
Ho 1.838 0.829 5.361
Ho 2.384 -0.829 0.459
Ho 5.969 0.829 9.346
Ho 6.515 -0.829 4.444

No. 20
4
Lattice="-1.968 3.022 6.078 1.968 -3.022 6.078 1.968 3.022 -6.078" Properties=species:S:1:pos:R:3 comment="AcPrYHo PBE relaxed" polymorph_energy_ev_per_atom=0.006 delta_e_f_mev_per_atom=106.5 sg="Imm2, No. 44" energy_ev_per_atom=-4.88 pbc="T T T"
Ac 0.000 0.000 0.000
Pr 1.968 0.000 3.273
Y 0.000 3.022 2.927
Ho 0.000 0.000 6.184